1.
Density functional theory data (GGA-PBE) for a relaxed Y4Os6O19 crystal.

The structure belongs to space group I23 (No. 197); the cell edges are 9.007, 9.007 and 9.007 Å and the angles 90.00°, 90.00° and 90.00°. Symmetry generates all atoms from Y at (0.147, 0.147, 0.147), Os at (0.000, 0.139, 0.500), O at (0.000, 0.000, 0.000), O at (0.000, 0.000, 0.317) and O at (0.014, 0.282, 0.338).

The calculated density comes out at 8185 kg/m3. The uncorrected formation energy is -1.784 eV/atom. The total magnetization comes out at 1.83 μB per cell. Its energy is -8.25 eV per atom.



2.
Density functional theory data (GGA-PBE) for a relaxed Y12Os3O5 crystal.

The structure belongs to space group Ia-3d (No. 230); the cell edges are 15.183, 15.183 and 15.183 Å and the angles 90.00°, 90.00° and 90.00°. Symmetry generates all atoms from Y at (0.031, 0.056, 0.652), Os at (0.000, 0.250, 0.125), O at (0.000, 0.000, 0.000) and O at (0.000, 0.250, 0.375).

The calculated density comes out at 6519 kg/m3. The uncorrected formation energy is -1.497 eV/atom. The total magnetization comes out at 0.00 μB per cell. Its energy is -8.30 eV per atom.



3.
Density functional theory data (GGA-PBE) for a relaxed Y6OsO12 crystal.

The structure belongs to space group R-3 (No. 148, hexagonal axes); the cell edges are 9.8556, 9.8556 and 9.4037 Å and the angles 90.00°, 90.00° and 120.00°. Symmetry generates all atoms from Y at (0.0418, 0.2541, 0.1440), Os at (0.0000, 0.0000, 0.5000), O at (0.0321, 0.2235, 0.9006) and O at (0.0377, 0.1842, 0.3887).

The calculated density comes out at 5766 kg/m3. The uncorrected formation energy is -3.028 eV/atom. The total magnetization comes out at 6.00 μB per cell. Its energy is -8.79 eV per atom.



4.
Density functional theory data (GGA-PBE) for a relaxed Zn2OsO crystal.

The structure belongs to space group I-42d (No. 122); the cell edges are 6.485, 6.485 and 4.874 Å and the angles 90.00°, 90.00° and 90.00°. Symmetry generates all atoms from Zn at (0.186, 0.250, 0.125), Os at (0.000, 0.000, 0.500) and O at (0.000, 0.000, 0.000).

The calculated density comes out at 10920 kg/m3. The uncorrected formation energy is 0.236 eV/atom. The total magnetization comes out at 0.00 μB per cell. Its energy is -4.45 eV per atom.



5.
Density functional theory data (GGA-PBE) for a relaxed ZnOs2O2 crystal.

The structure belongs to space group P4/mbm (No. 127); the cell edges are 7.337, 7.337 and 2.664 Å and the angles 90.00°, 90.00° and 90.00°. Symmetry generates all atoms from Zn at (0.000, 0.000, 0.000), Os at (0.117, 0.383, 0.000) and O at (0.243, 0.743, 0.500).

The calculated density comes out at 11066 kg/m3. The uncorrected formation energy is 0.486 eV/atom. The total magnetization comes out at 0.00 μB per cell. Its energy is -6.24 eV per atom.



6.
Density functional theory data (GGA-PBE) for a relaxed ZnOs2O crystal.

The structure belongs to space group I-42d (No. 122); the cell edges are 6.501, 6.501 and 5.029 Å and the angles 90.00°, 90.00° and 90.00°. Symmetry generates all atoms from Zn at (0.000, 0.000, 0.000), Os at (0.162, 0.250, 0.625) and O at (0.000, 0.000, 0.500).

The calculated density comes out at 14433 kg/m3. The uncorrected formation energy is 0.580 eV/atom. The total magnetization comes out at 0.00 μB per cell. Its energy is -6.59 eV per atom.



7.
Density functional theory data (GGA-PBE) for a relaxed Zn2OsO5 crystal.

The structure belongs to space group Cmcm (No. 63); the cell edges are 3.668, 10.757 and 10.383 Å and the angles 90.00°, 90.00° and 90.00°. Symmetry generates all atoms from Zn at (0.000, 0.125, 0.067), Os at (0.000, 0.178, 0.750), O at (0.000, 0.057, 0.615), O at (0.000, 0.309, 0.612) and O at (0.000, 0.314, 0.250).

The calculated density comes out at 6503 kg/m3. The uncorrected formation energy is -1.092 eV/atom. The total magnetization comes out at 4.28 μB per cell. Its energy is -5.91 eV per atom.



8.
Density functional theory data (GGA-PBE) for a relaxed Zn2Os2O7 crystal.

The structure belongs to space group Fd-3m (No. 227, origin choice 2); the cell edges are 10.079, 10.079 and 10.079 Å and the angles 90.00°, 90.00° and 90.00°. Symmetry generates all atoms from Zn at (0.000, 0.000, 0.000), Os at (0.000, 0.000, 0.500), O at (0.074, 0.375, 0.875) and O at (0.125, 0.125, 0.125).

The calculated density comes out at 8087 kg/m3. The uncorrected formation energy is -0.986 eV/atom. The total magnetization comes out at 0.00 μB per cell. Its energy is -6.41 eV per atom.



9.
Density functional theory data (GGA-PBE) for a relaxed Zn3OsO crystal.

The structure belongs to space group Pm-3m (No. 221); the cell edges are 4.850, 4.850 and 4.850 Å and the angles 90.00°, 90.00° and 90.00°. Symmetry generates all atoms from Zn at (0.000, 0.000, 0.500), Os at (0.000, 0.000, 0.000) and O at (0.500, 0.500, 0.500).

The calculated density comes out at 5856 kg/m3. The uncorrected formation energy is 1.119 eV/atom. The total magnetization comes out at 2.63 μB per cell. Its energy is -2.88 eV per atom.



10.
Density functional theory data (GGA-PBE) for a relaxed ZnOsO2 crystal.

The structure belongs to space group R-3m (No. 166, hexagonal axes); the cell edges are 2.8332, 2.8332 and 18.8431 Å and the angles 90.00°, 90.00° and 120.00°. Symmetry generates all atoms from Zn at (0.0000, 0.0000, 0.0000), Os at (0.0000, 0.0000, 0.5000) and O at (0.0000, 0.0000, 0.3987).

The calculated density comes out at 10939 kg/m3. The uncorrected formation energy is -0.768 eV/atom. The total magnetization comes out at 0.00 μB per cell. Its energy is -6.37 eV per atom.



11.
Density functional theory data (GGA-PBE) for a relaxed ZnOs2O2 crystal.

The structure belongs to space group I4/mmm (No. 139); the cell edges are 3.322, 3.322 and 10.653 Å and the angles 90.00°, 90.00° and 90.00°. Symmetry generates all atoms from Zn at (0.000, 0.000, 0.000), Os at (0.000, 0.000, 0.378) and O at (0.000, 0.500, 0.250).

The calculated density comes out at 13500 kg/m3. The uncorrected formation energy is 0.146 eV/atom. The total magnetization comes out at 0.00 μB per cell. Its energy is -6.58 eV per atom.



12.
Density functional theory data (GGA-PBE) for a relaxed ZnOs2O6 crystal.

The structure belongs to space group P321 (No. 150); the cell edges are 8.7195, 8.7195 and 4.3879 Å and the angles 90.00°, 90.00° and 120.00°. Symmetry generates all atoms from Zn at (0.0000, 0.0000, 0.0000), Zn at (0.3333, 0.6667, 0.5010), Os at (0.0000, 0.3229, 0.5000), Os at (0.0000, 0.6566, 0.0000), O at (0.1000, 0.5426, 0.7487), O at (0.1127, 0.8792, 0.7571) and O at (0.2125, 0.7799, 0.2554).

The calculated density comes out at 9343 kg/m3. The uncorrected formation energy is -1.001 eV/atom. The total magnetization comes out at 0.03 μB per cell. Its energy is -6.94 eV per atom.



13.
Density functional theory data (GGA-PBE) for a relaxed Zn6OsO6 crystal.

The structure belongs to space group Pm-3 (No. 200); the cell edges are 5.715, 5.715 and 5.715 Å and the angles 90.00°, 90.00° and 90.00°. Symmetry generates all atoms from Zn at (0.000, 0.247, 0.500), Os at (0.000, 0.000, 0.000) and O at (0.000, 0.500, 0.254).

The calculated density comes out at 6038 kg/m3. The uncorrected formation energy is -0.683 eV/atom. The total magnetization comes out at 3.93 μB per cell. Its energy is -4.42 eV per atom.



14.
Density functional theory data (GGA-PBE) for a relaxed ZnOsO2 crystal.

The structure belongs to space group I-42d (No. 122); the cell edges are 4.885, 4.885 and 8.484 Å and the angles 90.00°, 90.00° and 90.00°. Symmetry generates all atoms from Zn at (0.000, 0.000, 0.000), Os at (0.000, 0.000, 0.500) and O at (0.235, 0.250, 0.125).

The calculated density comes out at 9435 kg/m3. The uncorrected formation energy is -0.146 eV/atom. The total magnetization comes out at 0.00 μB per cell. Its energy is -5.75 eV per atom.



15.
Density functional theory data (GGA-PBE) for a relaxed Zn3OsO crystal.

The structure belongs to space group Pm-3m (No. 221); the cell edges are 4.075, 4.075 and 4.075 Å and the angles 90.00°, 90.00° and 90.00°. Symmetry generates all atoms from Zn at (0.000, 0.000, 0.500), Os at (0.500, 0.500, 0.500) and O at (0.000, 0.000, 0.000).

The calculated density comes out at 9874 kg/m3. The uncorrected formation energy is 0.177 eV/atom. The total magnetization comes out at 0.13 μB per cell. Its energy is -3.82 eV per atom.



16.
Density functional theory data (GGA-PBE) for a relaxed ZnOs2O crystal.

The structure belongs to space group Fm-3m (No. 225); the cell edges are 5.863, 5.863 and 5.863 Å and the angles 90.00°, 90.00° and 90.00°. Symmetry generates all atoms from Zn at (0.000, 0.000, 0.000), Os at (0.250, 0.250, 0.250) and O at (0.000, 0.000, 0.500).

The calculated density comes out at 15224 kg/m3. The uncorrected formation energy is 1.024 eV/atom. The total magnetization comes out at 0.00 μB per cell. Its energy is -6.15 eV per atom.



17.
Density functional theory data (GGA-PBE) for a relaxed ZnOs2O8 crystal.

The structure belongs to space group P-3m1 (No. 164); the cell edges are 5.8001, 5.8001 and 6.4637 Å and the angles 90.00°, 90.00° and 120.00°. Symmetry generates all atoms from Zn at (0.0000, 0.0000, 0.0000), Os at (0.3333, 0.6667, 0.2794), O at (0.1676, 0.3352, 0.1871) and O at (0.3333, 0.6667, 0.5487).

The calculated density comes out at 5060 kg/m3. The uncorrected formation energy is -0.917 eV/atom. The total magnetization comes out at 2.05 μB per cell. Its energy is -6.68 eV per atom.



18.
Density functional theory data (GGA-PBE) for a relaxed ZnOsO2 crystal.

The structure belongs to space group R-3m (No. 166, hexagonal axes); the cell edges are 2.7448, 2.7448 and 21.9872 Å and the angles 90.00°, 90.00° and 120.00°. Symmetry generates all atoms from Zn at (0.0000, 0.0000, 0.0000), Os at (0.0000, 0.0000, 0.5000) and O at (0.0000, 0.0000, 0.1053).

The calculated density comes out at 9989 kg/m3. The uncorrected formation energy is -0.440 eV/atom. The total magnetization comes out at 0.00 μB per cell. Its energy is -6.05 eV per atom.